{
  "formula": "Rb4P2PbSe8",
  "functional": "GGA-PBEsol",
  "state": "relaxed",
  "lattice_angstrom": [[-4.646, 9.411, 5.208], [4.646, -9.411, 5.208], [4.646, 9.411, -5.208]],
  "species": ["Rb", "Rb", "Rb", "Rb", "Rb", "Rb", "Rb", "Rb", "P", "P", "P", "P", "Pb", "Pb", "Se", "Se", "Se", "Se", "Se", "Se", "Se", "Se", "Se", "Se", "Se", "Se", "Se", "Se", "Se", "Se"],
  "frac_coords": [[0.016, 0.250, 0.766], [0.088, 0.613, 0.700], [0.412, 0.113, 0.525], [0.484, 0.250, 0.234], [0.516, 0.750, 0.766], [0.588, 0.887, 0.475], [0.912, 0.387, 0.300], [0.984, 0.750, 0.234], [0.125, 0.202, 0.328], [0.375, 0.702, 0.077], [0.625, 0.298, 0.923], [0.875, 0.798, 0.672], [0.250, 0.250, 0.000], [0.750, 0.750, 0.000], [0.101, 0.883, 0.636], [0.104, 0.967, 0.071], [0.239, 0.262, 0.501], [0.246, 0.465, 0.364], [0.254, 0.617, 0.218], [0.261, 0.762, 0.023], [0.396, 0.467, 0.862], [0.399, 0.035, 0.782], [0.601, 0.965, 0.218], [0.604, 0.533, 0.138], [0.739, 0.238, 0.977], [0.746, 0.383, 0.782], [0.754, 0.535, 0.636], [0.761, 0.738, 0.499], [0.896, 0.033, 0.929], [0.899, 0.117, 0.364]],
  "crystal_system": "orthorhombic",
  "magnetic_moment_mub_per_fu": 0.0,
  "spacegroup": "Ibam",
  "rho_g_cm3": 4.53,
  "dft_energy_ev_per_atom": -4.083
}